[1]
! LaTh2MnN4 | Alexandria | GGA-PBE | relaxed; values from VASP
! Calculated total energy = -8.9877 eV/atom
! Calculated volume = 131.4 Å³/f.u.
! Energy relative to the elements, uncorrected = -9.66 eV per formula unit
&SYSTEM
  ibrav = 0, nat = 16, ntyp = 4
/
ATOMIC_SPECIES
Th 232.04 Th.upf
N 14.01 N.upf
Mn 54.94 Mn.upf
La 138.91 La.upf
ATOMIC_POSITIONS crystal
Th 0.369 0.738 0.555
Th 0.369 0.738 0.945
Th 0.631 0.262 0.445
Th 0.631 0.262 0.055
N 0.733 0.466 0.619
N 0.267 0.534 0.381
N 0.267 0.534 0.119
N 0.000 0.000 0.000
N 0.440 0.881 0.750
N 0.000 0.000 0.500
N 0.733 0.466 0.881
N 0.560 0.119 0.250
Mn 0.829 0.658 0.750
Mn 0.171 0.342 0.250
La 0.905 0.809 0.250
La 0.095 0.191 0.750
CELL_PARAMETERS angstrom
3.628 0.000 0.000
-1.814 5.975 0.000
0.000 0.000 12.121

***

[2]
! AcPm2Os | Alexandria | GGA-PBE | relaxed; values from VASP
! Calculated total energy = -5.8127 eV/atom
! ΔE_f = 397 meV/atom
! Calculated volume = 107.3 Å³/f.u.
! ΔE to the lowest computed polymorph = 0.492 eV/atom
&SYSTEM
  ibrav = 0, nat = 4, ntyp = 3
/
ATOMIC_SPECIES
Ac 227.00 Ac.upf
Pm 145.00 Pm.upf
Os 190.23 Os.upf
ATOMIC_POSITIONS crystal
Ac 0.000 0.000 0.000
Pm 0.250 0.250 0.250
Pm 0.750 0.750 0.750
Os 0.500 0.500 0.500
CELL_PARAMETERS angstrom
5.335 0.000 0.000
2.667 4.620 0.000
2.667 1.540 4.356

***

[3]
! MgOsRu | Alexandria | GGA-PBE | relaxed; values from VASP
! Calculated total energy = -6.9790 eV/atom
! ΔE_f = 388 meV/atom
! Calculated volume = 45.6 Å³/f.u.
! ΔE to the lowest computed polymorph = 0.317 eV/atom
&SYSTEM
  ibrav = 0, nat = 3, ntyp = 3
/
ATOMIC_SPECIES
Os 190.23 Os.upf
Ru 101.07 Ru.upf
Mg 24.30 Mg.upf
ATOMIC_POSITIONS crystal
Os 0.329 0.329 0.671
Ru 0.670 0.670 0.330
Mg 0.001 0.001 0.999
CELL_PARAMETERS angstrom
-1.223 -1.460 -6.928
-3.346 -2.496 -5.569
-0.439 2.409 -1.196

***

[4]
! Mg6GeAu12 | Alexandria | GGA-PBE | relaxed; values from VASP
! Calculated total energy = -3.1835 eV/atom
! ΔE_f = -367 meV/atom
! Calculated volume = 353.0 Å³/f.u.
&SYSTEM
  ibrav = 0, nat = 19, ntyp = 3
/
ATOMIC_SPECIES
Au 196.97 Au.upf
Mg 24.30 Mg.upf
Ge 72.64 Ge.upf
ATOMIC_POSITIONS crystal
Au 0.360 0.022 0.141
Au 0.561 0.204 0.455
Au 0.455 0.561 0.204
Au 0.141 0.360 0.022
Au 0.978 0.859 0.640
Au 0.022 0.141 0.360
Au 0.859 0.640 0.978
Au 0.796 0.545 0.439
Au 0.439 0.796 0.545
Au 0.204 0.455 0.561
Au 0.640 0.978 0.859
Au 0.545 0.439 0.796
Mg 0.722 0.294 0.117
Mg 0.883 0.278 0.706
Mg 0.706 0.883 0.278
Mg 0.117 0.722 0.294
Mg 0.278 0.706 0.883
Mg 0.294 0.117 0.722
Ge 0.000 0.000 0.000
CELL_PARAMETERS angstrom
7.054 0.356 0.427
-0.717 7.026 0.427
-0.717 -0.836 6.989

***

[5]
! K2ScSe2O6 | Alexandria | GGA-PBE | relaxed; values from VASP
! Calculated total energy = -5.6592 eV/atom
! Calculated volume = 180.8 Å³/f.u.
! Energy relative to the elements, uncorrected = -17.01 eV per formula unit
&SYSTEM
  ibrav = 0, nat = 11, ntyp = 4
/
ATOMIC_SPECIES
O 16.00 O.upf
K 39.10 K.upf
Se 78.96 Se.upf
Sc 44.96 Sc.upf
ATOMIC_POSITIONS crystal
O 0.765 0.045 0.736
O 0.235 0.955 0.264
O 0.720 0.955 0.264
O 0.280 0.045 0.736
O 0.745 0.490 0.542
O 0.255 0.510 0.458
K 0.698 0.396 0.135
K 0.302 0.604 0.865
Se 0.081 0.162 0.252
Se 0.919 0.838 0.748
Sc 0.500 0.000 0.500
CELL_PARAMETERS angstrom
-5.104 -1.928 -2.651
5.024 -1.221 -1.844
-1.229 -4.183 5.409

***

[6]
! Y4AlRe | Alexandria | GGA-PBE | relaxed; values from VASP
! Calculated total energy = -6.1447 eV/atom
! ΔE_f = 863 meV/atom
! Calculated volume = 149.9 Å³/f.u.
&SYSTEM
  ibrav = 0, nat = 6, ntyp = 3
/
ATOMIC_SPECIES
Y 88.91 Y.upf
Re 186.21 Re.upf
Al 26.98 Al.upf
ATOMIC_POSITIONS crystal
Y 0.373 0.880 0.373
Y 0.880 0.373 0.373
Y 0.373 0.373 0.373
Y 0.373 0.373 0.880
Re 0.000 0.000 0.000
Al 0.750 0.750 0.750
CELL_PARAMETERS angstrom
0.000 4.216 4.216
4.216 0.000 4.216
4.216 4.216 0.000